Compound: TaNiHRu2
Source: the Alexandria database
Functional: PBE-GGA
Structure: relaxed

abc: 3.9688 3.9688 3.6966
angles: 90.00 90.00 90.00
With the nearest neighbours (Å) after each atom.
Space group P4/mmm (No. 123)
Unique sites:
Ta (0.0000, 0.0000, 0.0000)  8 Ru 2.71, 4 Ni 2.81
Ni (0.5000, 0.5000, 0.0000)  2 H 1.85
H (0.5000, 0.5000, 0.5000)  2 Ni 1.85, 4 Ru 1.98
Ru (0.0000, 0.5000, 0.5000)  2 H 1.98

ρ	12.63	g/cm3
total magnetization	0.00	μB per cell
total DFT energy (no corrections)	-8.17	eV per atom